VASP calculation (PBE) on crystalline Sr2ZnTe at its relaxed geometry.

Geometry as extended XYZ:
```
4
Lattice="4.7472 0.0000 0.0000 0.0000 2.2985 6.2177 0.0000 -2.2985 6.2177" Properties=species:S:1:pos:R:3 pbc="T T T"
Sr 0.0000 0.0000 0.0000
Sr 2.3736 0.0000 3.4097
Zn 0.0000 0.0000 9.2199
Te 2.3736 0.0000 6.8822
```

Computed properties:
crystal system	orthorhombic
E_tot	-2.72	eV per atom
space-group type	Amm2
raw formation energy	-0.775	eV per atom
density of states at the Fermi level	0.568	states/eV/atom
theoretical density	4.5	g/cm3

VASP calculation (PBE) on crystalline Sn7BrCl12 at its relaxed geometry.

Geometry as extended XYZ:
```
20
Lattice="7.8794 4.5491 3.5321 -7.8794 4.5491 3.5321 0.0000 -9.0983 3.5321" Properties=species:S:1:pos:R:3 pbc="T T T"
Sn 0.0000 0.0000 0.0000
Sn -2.6001 -0.6479 3.4224
Sn 1.8611 -1.9279 3.4224
Sn 0.7390 2.5757 3.4224
Sn -0.7390 -2.5757 7.1738
Sn -1.8612 1.9279 7.1738
Sn 2.6001 0.6479 7.1738
Br 0.0000 0.0000 5.2981
Cl -1.0022 -2.0189 1.7933
Cl -1.2473 1.8774 1.7933
Cl -2.9267 -2.8486 4.8514
Cl 2.2495 0.1415 1.7933
Cl -3.9303 1.1103 5.7448
Cl 1.0036 -3.9589 5.7448
Cl -1.0036 3.9589 4.8514
Cl 3.9303 -1.1103 4.8514
Cl -2.2495 -0.1415 8.8029
Cl 2.9267 2.8486 5.7447
Cl 1.2473 -1.8774 8.8029
Cl 1.0022 2.0189 8.8029
```

Computed properties:
crystal system	trigonal
E_tot	-3.48	eV per atom
space-group type	R-3
raw formation energy	-0.891	eV per atom
density of states at the Fermi level	0.169	states/eV/atom
theoretical density	2.9	g/cm3

VASP calculation (PBE) on crystalline AlTlCu2 at its relaxed geometry.

Geometry as extended XYZ:
```
4
Lattice="0.0000 3.2147 3.2147 3.2147 0.0000 3.2147 3.2147 3.2147 0.0000" Properties=species:S:1:pos:R:3 pbc="T T T"
Al 0.0000 0.0000 0.0000
Tl 3.2147 3.2147 3.2147
Cu 1.6073 1.6073 1.6073
Cu 4.8220 4.8220 4.8220
```

Computed properties:
crystal system	cubic
E_tot	-3.31	eV per atom
space-group type	Fm-3m
density of states at the Fermi level	0.373	states/eV/atom
energy of formation from the pure elements	0.264	eV per atom
theoretical density	9.0	g/cm3

VASP calculation (PBE) on crystalline TcBPb3 at its relaxed geometry.

Geometry as extended XYZ:
```
5
Lattice="5.3042 0.0000 0.0000 0.0000 5.3042 0.0000 0.0000 0.0000 5.3042" Properties=species:S:1:pos:R:3 pbc="T T T"
Tc 0.0000 0.0000 0.0000
B 2.6521 2.6521 2.6521
Pb 0.0000 0.0000 2.6521
Pb 0.0000 2.6521 0.0000
Pb 2.6521 0.0000 0.0000
```

Computed properties:
crystal system	cubic
E_tot	-4.36	eV per atom
space-group type	Pm-3m
density of states at the Fermi level	0.844	states/eV/atom
energy of formation from the pure elements	1.271	eV per atom
theoretical density	8.1	g/cm3

VASP calculation (PBE) on crystalline Mg2CdCl at its relaxed geometry.

Geometry as extended XYZ:
```
4
Lattice="1.7710 1.0225 8.0912 -1.7710 1.0225 8.0912 0.0000 -2.0450 8.0912" Properties=species:S:1:pos:R:3 pbc="T T T"
Mg 0.0000 0.0000 6.0441
Mg 0.0000 0.0000 18.2295
Cd 0.0000 0.0000 0.0000
Cl 0.0000 0.0000 12.1368
```

Computed properties:
crystal system	trigonal
E_tot	-2.03	eV per atom
space-group type	R-3m
raw formation energy	-0.542	eV per atom
density of states at the Fermi level	0.100	states/eV/atom
theoretical density	3.7	g/cm3

VASP calculation (PBE) on crystalline LaTbPa at its relaxed geometry.

Geometry as extended XYZ:
```
3
Lattice="3.4580 0.0000 0.0000 -1.7290 2.9947 0.0000 0.0000 0.0000 8.7482" Properties=species:S:1:pos:R:3 pbc="T T T"
La 0.0000 0.0000 0.0000
Tb 0.0000 1.9965 5.5025
Pa 1.7290 0.9982 2.7823
```

Computed properties:
crystal system	trigonal
E_tot	-6.20	eV per atom
space-group type	P3m1
density of states at the Fermi level	1.641	states/eV/atom
energy of formation from the pure elements	0.150	eV per atom
theoretical density	9.7	g/cm3